Run a
The following is a PBE calculation of a relaxed structure of LiSeNF2, from Alexandria via LeMat-Bulk.

Magnetization, μB per formula unit: 0.2
Volume, Å³ per atom: 10.873
Symmetry: P4/mmm

abc: 3.491 3.491 4.461
angles: 90.00 90.00 90.00
Positions (direct):
Li 0.000 0.000 0.000
Se 0.500 0.500 0.500
N 0.000 0.000 0.500
F 0.000 0.500 0.000
F 0.500 0.000 0.000

=====

Run b
The following is a PBE calculation of a relaxed structure of LiSeNF2, from Alexandria via LeMat-Bulk.

Magnetization, μB per formula unit: 0.0
Volume, Å³ per atom: 14.911
Symmetry: P4/mmm

abc: 4.509 4.509 3.666
angles: 90.00 90.00 90.00
Positions (direct):
Li 0.000 0.000 0.000
Se 0.500 0.500 0.500
N 0.500 0.500 0.000
F 0.000 0.500 0.500
F 0.500 0.000 0.500

=====

Relative stability in meV/atom, measured from the most stable structure: run a 368; run b 0

=====

Run a
The following is a PBE calculation of a relaxed structure of LiSeNF, from Alexandria via LeMat-Bulk.

Magnetization, μB per formula unit: 0.0
Volume, Å³ per atom: 13.196
Symmetry: Cm

abc: 6.675 6.675 2.950
angles: 102.62 102.62 24.33
Positions (direct):
Li 0.000 0.000 0.000
Se 0.763 0.763 0.259
N 0.171 0.171 0.168
F 0.469 0.469 0.470

=====

Run b
The following is a PBE calculation of a relaxed structure of LiSeNF, from Alexandria via LeMat-Bulk.

Magnetization, μB per formula unit: 0.0
Volume, Å³ per atom: 14.246
Symmetry: P1

abc: 3.107 3.216 6.359
angles: 95.48 93.62 114.91
Positions (direct):
Li 0.000 0.000 0.000
Se 0.387 0.657 0.504
N 0.113 0.111 0.355
F 0.643 0.337 0.938

=====

Relative stability in meV/atom, measured from the most stable structure: run a 0; run b 92

=====

Run a
The following is a PBE calculation of a relaxed structure of LiSnN2F, from Alexandria via LeMat-Bulk.

Magnetization, μB per formula unit: 1.5
Volume, Å³ per atom: 14.709
Symmetry: P4/mmm

abc: 4.111 4.111 4.352
angles: 90.00 90.00 90.00
Positions (direct):
Li 0.000 0.000 0.000
Sn 0.500 0.500 0.500
N 0.000 0.500 0.500
N 0.500 0.000 0.500
F 0.500 0.500 0.000

=====

Run b
The following is a PBE calculation of a relaxed structure of LiSnN2F, from Alexandria via LeMat-Bulk.

Magnetization, μB per formula unit: 0.3
Volume, Å³ per atom: 10.426
Symmetry: P4/mmm

abc: 3.811 3.811 3.590
angles: 90.00 90.00 90.00
Positions (direct):
Li 0.000 0.000 0.000
Sn 0.500 0.500 0.500
N 0.000 0.500 0.000
N 0.500 0.000 0.000
F 0.000 0.000 0.500

=====

Relative stability in meV/atom, measured from the most stable structure: run a 0; run b 365